1.
First-principles (PBE) data for crystalline NaMgSc2Ni at its relaxed geometry, as listed in Alexandria via LeMat-Bulk.

Unit cell a=4.9175 b=4.9175 c=5.0717 alpha=90.00 beta=90.00 gamma=90.00
Closest atoms and distances in Å follow each position.
Element x y z (fractional)
1 Na 0.0000 0.0000 0.0000  4 Mg 3.48, 8 Sc 3.53
2 Mg 0.5000 0.5000 0.0000  2 Ni 2.54
3 Sc 0.0000 0.5000 0.5000  2 Ni 2.46
4 Sc 0.5000 0.0000 0.5000  2 Ni 2.46
5 Ni 0.5000 0.5000 0.5000  4 Sc 2.46, 2 Mg 2.54

Results
The space-group type is No. 123. As for the magnetization: 0.00 μB per formula unit. The calculation puts the formation energy at 17.9 kJ/mol of formula units.

=====

2.
First-principles (PBE) data for crystalline VAs2P at its relaxed geometry, as listed in Alexandria via LeMat-Bulk.

Unit cell a=6.8750 b=6.8750 c=6.8750 alpha=131.09 beta=131.09 gamma=71.66
Closest atoms and distances in Å follow each position.
Element x y z (fractional)
1 V 0.0000 0.0000 0.0000  4 As 2.45
2 V 0.7500 0.2500 0.5000  4 As 2.45
3 As 0.1268 0.6250 0.0018  2 P 2.44, 2 V 2.45
4 As 0.3750 0.3768 0.5018  2 P 2.44, 2 V 2.45
5 As 0.6232 0.1250 0.9982  2 P 2.44, 2 V 2.45
6 As 0.8750 0.8732 0.4982  2 P 2.44, 2 V 2.45
7 P 0.2500 0.7500 0.5000  4 As 2.44
8 P 0.5000 0.5000 0.0000  4 As 2.44

Results
The space-group type is No. 122. As for the magnetization: 2.16 μB per formula unit. The calculation puts the formation energy at 92.6 kJ/mol of formula units.

=====

3.
First-principles (PBE) data for crystalline LaDyZn at its relaxed geometry, as listed in Alexandria via LeMat-Bulk.

Unit cell a=7.8944 b=7.8944 c=4.7491 alpha=90.00 beta=90.00 gamma=120.00
Closest atoms and distances in Å follow each position.
Element x y z (fractional)
1 La 0.0000 0.6105 0.0000  5 Zn 3.08-3.40
2 La 0.3895 0.3895 0.0000  5 Zn 3.08-3.40
3 La 0.6105 0.0000 0.0000  5 Zn 3.08-3.40
4 Dy 0.0000 0.2678 0.5000  4 Zn 2.92-3.18
5 Dy 0.2678 0.0000 0.5000  4 Zn 2.92-3.18
6 Dy 0.7322 0.7322 0.5000  4 Zn 2.92-3.18
7 Zn 0.0000 0.0000 0.0000  3 La 3.08, 6 Dy 3.18
8 Zn 0.3333 0.6667 0.5000  3 Dy 2.92
9 Zn 0.6667 0.3333 0.5000  3 Dy 2.92

Results
The space-group type is No. 189. As for the magnetization: 0.00 μB per formula unit. The calculation puts the formation energy at -45.3 kJ/mol of formula units.

=====

- What is the magnetization in the second record?
  2.16 μB per formula unit